# 1
{"formula": "K3NaUC3O11", "functional": "PBE", "state": "relaxed", "cell": [[9.3859, 0.0000, 0.0000], [-4.6929, 8.1284, 0.0000], [0.0000, 0.0000, 8.3555]], "species": ["O", "O", "O", "O", "O", "O", "O", "O", "O", "O", "O", "O", "O", "O", "O", "O", "O", "O", "O", "O", "O", "O", "C", "C", "C", "C", "C", "C", "K", "K", "K", "K", "K", "K", "U", "U", "Na", "Na"], "fractional_positions": [[0.6667, 0.3333, 0.0291], [0.6332, 0.8727, 0.2500], [0.2145, 0.3667, 0.7500], [0.6333, 0.8478, 0.7500], [0.1273, 0.7605, 0.2500], [0.8727, 0.6332, 0.7500], [0.7605, 0.1273, 0.7500], [0.4851, 0.5176, 0.7500], [0.3333, 0.6667, 0.9709], [0.1522, 0.7855, 0.7500], [0.7855, 0.1522, 0.2500], [0.2395, 0.3668, 0.2500], [0.8478, 0.6333, 0.2500], [0.3668, 0.2395, 0.7500], [0.6667, 0.3333, 0.4709], [0.4824, 0.9675, 0.7500], [0.5149, 0.0325, 0.2500], [0.0325, 0.5149, 0.7500], [0.9675, 0.4824, 0.2500], [0.3333, 0.6667, 0.5291], [0.5176, 0.4851, 0.2500], [0.3667, 0.2145, 0.2500], [0.6444, 0.0124, 0.2500], [0.0124, 0.6444, 0.7500], [0.3556, 0.3680, 0.7500], [0.6320, 0.9876, 0.7500], [0.9876, 0.6320, 0.2500], [0.3680, 0.3556, 0.2500], [0.0000, 0.2993, 0.5000], [0.2993, 0.0000, 0.5000], [0.0000, 0.2993, 0.0000], [0.7007, 0.7007, 0.0000], [0.7007, 0.7007, 0.5000], [0.2993, 0.0000, 0.0000], [0.6667, 0.3333, 0.2500], [0.3333, 0.6667, 0.7500], [0.6667, 0.3333, 0.7500], [0.3333, 0.6667, 0.2500]], "magmom_total_mub_per_fu": 0.0, "space_group": "P-62c (190)", "raw_formation_energy_mev_per_atom": -2053}

# 2
{"formula": "AlTcB4", "functional": "PBE", "state": "relaxed", "cell": [[2.7923, 0.0011, 1.0265], [1.0722, 4.1192, 1.3902], [-0.0602, 0.1545, 4.4746]], "species": ["B", "B", "B", "B", "Al", "Tc"], "fractional_positions": [[0.2435, 0.4213, 0.0915], [0.7564, 0.5787, 0.9085], [0.7564, 0.9085, 0.5787], [0.2435, 0.0915, 0.4213], [0.5000, 0.5000, 0.5000], [0.0000, 0.0000, 0.0000]], "magmom_total_mub_per_fu": 0.0, "space_group": "Immm (71)", "formation_energy_ev_per_atom": -0.128}